Record 1
VASP calculation (SCAN) on TaCdBF10 at its PBEsol-relaxed geometry.

Properties
Formation energy without anion corrections (meV per atom): -3053.2
Spin magnetization (μB per formula unit): 0.0
Calculated total energy (eV per atom): -13.809

Unit cell a=8.2391 b=9.3826 c=9.0151 alpha=90.00 beta=94.48 gamma=90.00
Atoms (fractional coordinates):
1 Ta 0.1676 0.0699 0.2644
2 Ta 0.1676 0.4301 0.7644
3 Ta 0.8324 0.5699 0.2356
4 Ta 0.8324 0.9301 0.7356
5 Cd 0.3244 0.0226 0.7120
6 Cd 0.3244 0.4774 0.2120
7 Cd 0.6756 0.5226 0.7880
8 Cd 0.6756 0.9774 0.2880
9 B 0.4280 0.7260 0.4936
10 B 0.4280 0.7740 0.9936
11 B 0.5720 0.2260 0.0064
12 B 0.5720 0.2740 0.5064
13 F 0.0630 0.5727 0.2196
14 F 0.0630 0.9273 0.7196
15 F 0.1466 0.0797 0.0571
16 F 0.1466 0.4203 0.5571
17 F 0.1649 0.6286 0.7679
18 F 0.1649 0.8714 0.2679
19 F 0.1806 0.2220 0.7652
20 F 0.1806 0.2780 0.2652
21 F 0.1951 0.0782 0.4814
22 F 0.1951 0.4218 0.9814
23 F 0.3259 0.6308 0.4087
24 F 0.3259 0.8692 0.9087
25 F 0.3302 0.6854 0.0755
26 F 0.3302 0.8146 0.5755
27 F 0.4027 0.0628 0.2697
28 F 0.4027 0.4372 0.7697
29 F 0.4630 0.1469 0.9112
30 F 0.4630 0.3531 0.4112
31 F 0.4832 0.1904 0.6019
32 F 0.4832 0.3096 0.1019
33 F 0.5168 0.6904 0.8981
34 F 0.5168 0.8096 0.3981
35 F 0.5370 0.6469 0.5888
36 F 0.5370 0.8531 0.0888
37 F 0.5973 0.5628 0.2303
38 F 0.5973 0.9372 0.7303
39 F 0.6698 0.1854 0.4245
40 F 0.6698 0.3146 0.9245
41 F 0.6741 0.1308 0.0913
42 F 0.6741 0.3692 0.5913
43 F 0.8049 0.5782 0.0186
44 F 0.8049 0.9218 0.5186
45 F 0.8194 0.7220 0.7348
46 F 0.8194 0.7780 0.2348
47 F 0.8351 0.1286 0.7321
48 F 0.8351 0.3714 0.2321
49 F 0.8534 0.5797 0.4429
50 F 0.8534 0.9203 0.9429
51 F 0.9370 0.0727 0.2804
52 F 0.9370 0.4273 0.7804

Record 2
VASP calculation (SCAN) on Ba2CaAl at its PBEsol-relaxed geometry.

Properties
Spin magnetization (μB per formula unit): 0.1
Calculated total energy (eV per atom): -24.155
Energy of formation (meV/atom): -26.5

Unit cell a=4.1286 b=4.1286 c=9.6905 alpha=90.00 beta=90.00 gamma=90.00
Atoms (fractional coordinates):
1 Ba 0.0000 0.0000 0.1950
2 Ba 0.0000 0.0000 0.8050
3 Ca 0.5000 0.5000 0.5000
4 Al 0.5000 0.5000 0.0000

Record 3
VASP calculation (SCAN) on GeTeOsI2 at its PBEsol-relaxed geometry.

Properties
Formation energy without anion corrections (meV per atom): 1534.3
Spin magnetization (μB per formula unit): 4.2
Calculated total energy (eV per atom): -38.806

Unit cell a=5.3829 b=5.3829 c=5.4546 alpha=90.00 beta=90.00 gamma=90.00
Atoms (fractional coordinates):
1 Ge 0.0000 0.0000 0.0000
2 Te 0.0000 0.0000 0.5000
3 Os 0.5000 0.5000 0.5000
4 I 0.0000 0.5000 0.0000
5 I 0.5000 0.0000 0.0000

Record 4
VASP calculation (SCAN) on Zn5Mo at its PBEsol-relaxed geometry.

Properties
Energy relative to the lowest polymorph listed for this composition (eV per atom): 0.037
Spin magnetization (μB per formula unit): 0.0
Calculated total energy (eV per atom): -17.040
Energy of formation (meV/atom): 37.0

Unit cell a=5.1796 b=5.1796 c=6.5979 alpha=104.70 beta=104.70 gamma=29.60
Atoms (fractional coordinates):
1 Zn 0.0000 0.0000 0.0000
2 Zn 0.0589 0.0589 0.6161
3 Zn 0.3336 0.3336 0.6820
4 Zn 0.3954 0.3954 0.2883
5 Zn 0.7224 0.7224 0.9603
6 Mo 0.6679 0.6679 0.3363

Record 5
VASP calculation (SCAN) on Ag2HgMo at its PBEsol-relaxed geometry.

Properties
Spin magnetization (μB per formula unit): 0.9
Calculated total energy (eV per atom): -40.934
Energy of formation (meV/atom): 512.6

Unit cell a=2.7973 b=4.9646 c=4.9789 alpha=90.00 beta=90.00 gamma=90.00
Atoms (fractional coordinates):
1 Ag 0.0000 0.0000 0.0000
2 Ag 0.5000 0.5000 0.0000
3 Hg 0.0000 0.5000 0.5000
4 Mo 0.5000 0.0000 0.5000

Record 6
VASP calculation (SCAN) on Mg2BeIn at its PBEsol-relaxed geometry.

Properties
Energy relative to the lowest polymorph listed for this composition (eV per atom): 0.246
Spin magnetization (μB per formula unit): 0.0
Calculated total energy (eV per atom): -11.501
Energy of formation (meV/atom): 420.7

Unit cell a=6.2965 b=6.2965 c=6.2965 alpha=99.65 beta=99.65 gamma=131.66
Atoms (fractional coordinates):
1 Mg 0.0445 0.1250 0.4195
2 Mg 0.3750 0.9555 0.0805
3 Mg 0.7055 0.6250 0.5805
4 Mg 0.8750 0.2945 0.9195
5 Be 0.0000 0.0000 0.0000
6 Be 0.7500 0.2500 0.5000
7 In 0.2500 0.7500 0.5000
8 In 0.5000 0.5000 0.0000

Record 7
VASP calculation (SCAN) on Ag2HgIr at its PBEsol-relaxed geometry.

Properties
Spin magnetization (μB per formula unit): 0.8
Calculated total energy (eV per atom): -50.117
Energy of formation (meV/atom): 382.7

Unit cell a=2.7960 b=2.7960 c=8.5622 alpha=90.00 beta=90.00 gamma=90.00
Atoms (fractional coordinates):
1 Ag 0.0000 0.0000 0.2346
2 Ag 0.0000 0.0000 0.7654
3 Hg 0.5000 0.5000 0.5000
4 Ir 0.5000 0.5000 0.0000

Record 8
VASP calculation (SCAN) on YSn6Ru4 at its PBEsol-relaxed geometry.

Properties
Spin magnetization (μB per formula unit): 0.0
Calculated total energy (eV per atom): -35.153
Energy of formation (meV/atom): -364.4

Unit cell a=6.8549 b=6.8549 c=6.8549 alpha=120.42 beta=120.42 gamma=89.28
Atoms (fractional coordinates):
1 Y 0.0000 0.0000 0.0000
2 Sn 0.0000 0.5000 0.5000
3 Sn 0.1173 0.4686 0.0000
4 Sn 0.4686 0.1173 0.0000
5 Sn 0.5000 0.0000 0.5000
6 Sn 0.5314 0.5314 0.6486
7 Sn 0.8827 0.8827 0.3514
8 Ru 0.2503 0.2503 0.6541
9 Ru 0.4038 0.7497 0.0000
10 Ru 0.5962 0.5962 0.3459
11 Ru 0.7497 0.4038 0.0000